(1)
## Nd2Sm8In (GGA-PBE)

Data for crystalline Nd2Sm8In at its relaxed geometry.

Values from the calculation:
formation enthalpy at 0 K	-0.06	eV/atom
total moment	0.000	μB/f.u.
DOS(E_F)	14.18	states/eV per cell

Cell: 5.0497 8.0628 9.5234 Å, 104.80 105.37 90.00°
Atoms (fractional coordinates):
Sm1 0.6785 0.9085 0.3570
Sm2 0.4111 0.5587 0.8222
Sm3 0.5889 0.4413 0.1778
Sm4 0.0438 0.7271 0.0876
Sm5 0.8650 0.8241 0.7300
Sm6 0.3215 0.0915 0.6430
Sm7 0.9562 0.2729 0.9124
Sm8 0.1350 0.1759 0.2700
In1 0.5000 0.0000 0.0000
Nd1 0.2232 0.6351 0.4465
Nd2 0.7768 0.3649 0.5535

---

(2)
## KTb2PtO5 (GGA-PBE)

Data for crystalline KTb2PtO5 at its relaxed geometry.

Values from the calculation:
total moment	1.015	μB/f.u.
DOS(E_F)	10.44	states/eV per cell
raw total energy	-6.90	eV per atom

Cell: 5.8640 6.6280 6.6280 Å, 90.00 90.00 90.00°
Site moments in Bohr magnetons follow the coordinates.
Atoms (fractional coordinates):
O1 0.2619 0.1352 0.6352  0.10
O2 0.2619 0.8648 0.3648  0.10
O3 0.2619 0.6352 0.8648  0.10
O4 0.2619 0.3648 0.1352  0.10
O5 0.5000 0.5000 0.5000  0.15
O6 0.7381 0.8648 0.3648  0.10
O7 0.7381 0.6352 0.8648  0.10
O8 0.7381 0.1352 0.6352  0.10
O9 0.7381 0.3648 0.1352  0.10
O10 0.5000 0.0000 0.0000  0.15
K1 0.0000 0.0000 0.0000  0.00
K2 0.0000 0.5000 0.5000  0.00
Tb1 0.5000 0.6762 0.1762  -0.01
Tb2 0.5000 0.3238 0.8238  -0.01
Tb3 0.5000 0.1762 0.3238  -0.01
Tb4 0.5000 0.8238 0.6762  -0.01
Pt1 0.0000 0.5000 0.0000  0.40
Pt2 0.0000 0.0000 0.5000  0.40

---

(3)
## DyTlSb (GGA-PBE)

Data for crystalline DyTlSb at its relaxed geometry.

Values from the calculation:
total moment	0.000	μB/f.u.
DOS(E_F)	5.43	states/eV per cell
raw total energy	-3.98	eV per atom

Cell: 5.6195 3.3805 9.9819 Å, 99.75 106.35 90.00°
Atoms (fractional coordinates):
Tl1 0.7508 0.5000 0.0000
Tl2 0.2492 0.5000 0.0000
Dy1 0.8273 0.3273 0.6546
Dy2 0.1727 0.6727 0.3454
Sb1 0.3358 0.8358 0.6716
Sb2 0.6642 0.1642 0.3284

---

(4)
## CrIrPb2 (GGA-PBE)

Data for crystalline CrIrPb2 at its relaxed geometry.

Values from the calculation:
formation enthalpy at 0 K	0.26	eV/atom
total moment	2.948	μB/f.u.
DOS(E_F)	3.73	states/eV per cell

Cell: 3.1590 3.3873 8.3078 Å, 90.00 90.00 90.00°
Site moments in Bohr magnetons follow the coordinates.
Atoms (fractional coordinates):
Pb1 0.5000 0.5000 0.3147  -0.03
Pb2 0.0000 0.0000 0.9360  0.00
Cr1 0.0000 0.0000 0.5549  2.76
Ir1 0.5000 0.5000 0.6944  0.03

---

(5)
## Pa2TaGe (GGA-PBE)

Data for crystalline Pa2TaGe at its relaxed geometry.

Values from the calculation:
formation enthalpy at 0 K	0.29	eV/atom
total moment	0.000	μB/f.u.
DOS(E_F)	6.48	states/eV per cell

Cell: 3.0856 3.0856 10.9102 Å, 81.87 81.87 60.00°
Atoms (fractional coordinates):
Ge1 0.5000 0.5000 0.5000
Pa1 0.9124 0.9124 0.2628
Pa2 0.0876 0.0876 0.7372
Ta1 0.0000 0.0000 0.0000

---

(6)
## Nd2Er5Ni2 (GGA-PBE)

Data for crystalline Nd2Er5Ni2 at its relaxed geometry.

Values from the calculation:
formation enthalpy at 0 K	-0.16	eV/atom
total moment	0.000	μB/f.u.
DOS(E_F)	23.94	states/eV per cell

Cell: 6.9644 6.9391 10.6379 Å, 90.00 70.89 90.00°
Atoms (fractional coordinates):
Ni1 0.1219 0.3784 0.0000
Ni2 0.6219 0.1216 0.0000
Ni3 0.3781 0.8784 0.0000
Ni4 0.8781 0.6216 0.0000
Er1 0.4293 0.1733 0.7881
Er2 0.7173 0.3267 0.2119
Er3 0.2827 0.6733 0.7881
Er4 0.7827 0.8267 0.7881
Er5 0.0707 0.6733 0.2119
Er6 0.0000 0.0000 0.0000
Er7 0.5000 0.5000 0.0000
Er8 0.5707 0.8267 0.2119
Er9 0.9293 0.3267 0.7881
Er10 0.2173 0.1733 0.2119
Nd1 0.7694 0.0000 0.4612
Nd2 0.2306 0.0000 0.5388
Nd3 0.7306 0.5000 0.5388
Nd4 0.2694 0.5000 0.4612

---

(7)
## BaPtBr (GGA-PBE)

Data for crystalline BaPtBr at its relaxed geometry.

Values from the calculation:
total moment	0.000	μB/f.u.
raw total energy	-4.60	eV per atom

Cell: 4.5369 4.5369 12.1711 Å, 79.26 79.26 60.00°
Atoms (fractional coordinates):
Br1 0.2827 0.2827 0.1520
Br2 0.7173 0.7173 0.8480
Pt1 0.1664 0.1664 0.5009
Pt2 0.8336 0.8336 0.4991
Ba1 0.4354 0.4354 0.6939
Ba2 0.5646 0.5646 0.3061

---

(8)
## PaAlS3 (GGA-PBE)

Data for crystalline PaAlS3 at its relaxed geometry.

Values from the calculation:
total moment	1.546	μB/f.u.
DOS(E_F)	9.17	states/eV per cell
raw total energy	-6.27	eV per atom

Cell: 3.5479 7.7106 7.9676 Å, 88.12 102.86 90.00°
Site moments in Bohr magnetons follow the coordinates.
Atoms (fractional coordinates):
S1 0.0232 0.7382 0.0464  -0.01
S2 0.9768 0.2618 0.9536  -0.01
S3 0.1696 0.3962 0.3391  -0.02
S4 0.6547 0.0122 0.3093  -0.02
S5 0.8304 0.6038 0.6609  -0.02
S6 0.3453 0.9878 0.6907  -0.02
Al1 0.5705 0.2631 0.1411  0.02
Al2 0.4295 0.7369 0.8589  0.02
Pa1 0.2061 0.7565 0.4123  1.20
Pa2 0.7939 0.2435 0.5877  1.20

---

(9)
## MgPaGa (GGA-PBE)

Data for crystalline MgPaGa at its relaxed geometry.

Values from the calculation:
formation enthalpy at 0 K	-0.05	eV/atom
total moment	0.757	μB/f.u.
DOS(E_F)	4.20	states/eV per cell

Cell: 3.1624 4.8554 4.8554 Å, 120.00 90.00 90.00°
Site moments in Bohr magnetons follow the coordinates.
Atoms (fractional coordinates):
Mg1 0.1671 0.6667 0.3333  0.00
Ga1 0.1662 0.0000 0.0000  -0.01
Pa1 0.6667 0.3333 0.6667  0.64

---

(10)
## Ho8SnSe6 (GGA-PBE)

Data for crystalline Ho8SnSe6 at its relaxed geometry.

Values from the calculation:
total moment	0.000	μB/f.u.
DOS(E_F)	10.26	states/eV per cell
raw total energy	-5.42	eV per atom

Cell: 4.0165 10.4966 10.4966 Å, 120.00 90.00 90.00°
Atoms (fractional coordinates):
Se1 0.2510 0.5173 0.6484
Se2 0.7490 0.4827 0.3516
Se3 0.2510 0.1311 0.4827
Se4 0.2510 0.3516 0.8689
Se5 0.7490 0.8689 0.5173
Se6 0.7490 0.6484 0.1311
Sn1 0.5000 0.0000 0.0000
Ho1 0.2519 0.6803 0.9648
Ho2 0.7481 0.7155 0.6803
Ho3 0.7481 0.9648 0.2845
Ho4 0.7486 0.3333 0.6667
Ho5 0.7481 0.3197 0.0352
Ho6 0.2514 0.6667 0.3333
Ho7 0.2519 0.0352 0.7155
Ho8 0.2519 0.2845 0.3197

---

(11)
## Th3Sc5Pt12 (GGA-PBE)

Data for crystalline Th3Sc5Pt12 at its relaxed geometry.

Values from the calculation:
formation enthalpy at 0 K	-0.68	eV/atom
total moment	0.000	μB/f.u.
DOS(E_F)	29.17	states/eV per cell

Cell: 13.7956 13.7956 13.7956 Å, 109.47 109.47 109.47°
Atoms (fractional coordinates):
Pt1 0.9190 0.0814 0.8578
Pt2 0.9186 0.0810 0.6422
Pt3 0.1624 0.0814 0.7236
Pt4 0.4389 0.7764 0.8578
Pt5 0.2764 0.8578 0.9389
Pt6 0.4186 0.2764 0.3376
Pt7 0.8376 0.9190 0.0611
Pt8 0.0810 0.1624 0.4389
Pt9 0.4190 0.3578 0.5814
Pt10 0.8376 0.9186 0.2764
Pt11 0.7764 0.3376 0.9186
Pt12 0.2236 0.6624 0.0814
Pt13 0.9389 0.3578 0.2764
Pt14 0.2236 0.5611 0.6422
Pt15 0.3578 0.9389 0.7764
Pt16 0.0814 0.9190 0.3578
Pt17 0.4190 0.0611 0.3376
Pt18 0.2764 0.4186 0.8376
Pt19 0.6422 0.5810 0.9186
Pt20 0.9186 0.8376 0.7764
Pt21 0.1624 0.0810 0.9389
Pt22 0.9190 0.8376 0.5611
Pt23 0.9389 0.5810 0.1624
Pt24 0.7236 0.1422 0.0611
Pt25 0.0611 0.4190 0.8376
Pt26 0.5814 0.8578 0.4190
Pt27 0.6624 0.4389 0.5810
Pt28 0.3376 0.5611 0.4190
Pt29 0.0814 0.1624 0.2236
Pt30 0.6422 0.0611 0.2236
Pt31 0.1422 0.4186 0.0810
Pt32 0.1422 0.7236 0.5611
Pt33 0.8578 0.5814 0.9190
Pt34 0.4186 0.1422 0.5810
Pt35 0.4389 0.6624 0.0810
Pt36 0.3578 0.4190 0.0814
Pt37 0.6624 0.2236 0.5814
Pt38 0.5810 0.9389 0.6624
Pt39 0.8578 0.2764 0.4389
Pt40 0.5611 0.2236 0.1422
Pt41 0.7236 0.5814 0.1624
Pt42 0.5814 0.7236 0.6624
Pt43 0.0810 0.9186 0.1422
Pt44 0.5611 0.3376 0.9190
Pt45 0.5810 0.6422 0.4186
Pt46 0.0611 0.6422 0.7236
Pt47 0.3376 0.7764 0.4186
Pt48 0.7764 0.4389 0.3578
Th1 0.8750 0.1250 0.2500
Th2 0.6250 0.3750 0.7500
Th3 0.6250 0.2500 0.3750
Th4 0.3750 0.7500 0.6250
Th5 0.7500 0.8750 0.6250
Th6 0.7500 0.3750 0.1250
Th7 0.1250 0.8750 0.7500
Th8 0.3750 0.6250 0.2500
Th9 0.1250 0.2500 0.8750
Th10 0.8750 0.7500 0.1250
Th11 0.2500 0.6250 0.8750
Th12 0.2500 0.1250 0.3750
Sc1 0.8750 0.6250 0.7500
Sc2 0.7500 0.1250 0.8750
Sc3 0.2500 0.8750 0.1250
Sc4 0.7500 0.6250 0.3750
Sc5 0.0000 0.0000 0.0000
Sc6 0.5000 0.5000 0.5000
Sc7 0.2500 0.3750 0.6250
Sc8 0.0000 0.5000 0.0000
Sc9 0.0000 0.5000 0.5000
Sc10 0.5000 0.0000 0.5000
Sc11 0.0000 0.0000 0.5000
Sc12 0.3750 0.1250 0.7500
Sc13 0.3750 0.2500 0.1250
Sc14 0.6250 0.7500 0.8750
Sc15 0.5000 0.5000 0.0000
Sc16 0.5000 0.0000 0.0000
Sc17 0.1250 0.3750 0.2500
Sc18 0.8750 0.2500 0.6250
Sc19 0.6250 0.8750 0.2500
Sc20 0.1250 0.7500 0.3750

---

(12)
## HoGa4Pd2Pt (GGA-PBE)

Data for crystalline HoGa4Pd2Pt at its relaxed geometry.

Values from the calculation:
formation enthalpy at 0 K	-0.64	eV/atom
total moment	0.000	μB/f.u.
DOS(E_F)	2.92	states/eV per cell

Cell: 4.3077 4.3077 8.9863 Å, 76.13 76.13 60.00°
Atoms (fractional coordinates):
Ga1 0.6038 0.6038 0.1887
Ga2 0.1311 0.1311 0.6068
Ga3 0.3962 0.3962 0.8113
Ga4 0.8689 0.8689 0.3932
Pt1 0.5000 0.5000 0.5000
Pd1 0.7541 0.7541 0.7376
Pd2 0.2459 0.2459 0.2624
Ho1 0.0000 0.0000 0.0000

---

(13)
## CuSe2BrN (GGA-PBE)

Data for crystalline CuSe2BrN at its relaxed geometry.

Values from the calculation:
total moment	0.257	μB/f.u.
DOS(E_F)	7.37	states/eV per cell
raw total energy	-2.59	eV per atom

Cell: 4.7772 4.7772 4.8225 Å, 90.00 90.00 90.00°
Site moments in Bohr magnetons follow the coordinates.
Atoms (fractional coordinates):
Br1 0.0000 0.0000 0.5000  -0.06
Cu1 0.0000 0.0000 0.0000  -0.01
Se1 0.0000 0.5000 0.0000  -0.03
Se2 0.5000 0.0000 0.0000  -0.03
N1 0.5000 0.5000 0.5000  0.30

---

(14)
## HoCd2Au (GGA-PBE)

Data for crystalline HoCd2Au at its relaxed geometry.

Values from the calculation:
formation enthalpy at 0 K	-0.34	eV/atom
total moment	0.000	μB/f.u.
DOS(E_F)	1.52	states/eV per cell

Cell: 5.4524 3.4556 4.9895 Å, 90.00 90.00 99.16°
Atoms (fractional coordinates):
Cd1 0.4876 0.6240 0.0000
Cd2 0.0124 0.8760 0.0000
Au1 0.2500 0.7500 0.5000
Ho1 0.7500 0.2500 0.5000

---

(15)
## Cs2TaBiS4 (GGA-PBE)

Data for crystalline Cs2TaBiS4 at its relaxed geometry.

Values from the calculation:
total moment	0.000	μB/f.u.
DOS(E_F)	2.31	states/eV per cell
raw total energy	-5.13	eV per atom

Cell: 7.1905 7.1905 7.1905 Å, 108.06 110.18 110.18°
Atoms (fractional coordinates):
S1 0.6779 0.4606 0.5215
S2 0.3221 0.8436 0.7827
S3 0.9391 0.4785 0.1564
S4 0.0609 0.2173 0.5394
Cs1 0.5000 0.7500 0.2500
Cs2 0.0000 0.0000 0.0000
Ta1 0.0000 0.5000 0.5000
Bi1 0.5000 0.2500 0.7500

---

(16)
## La2Co3 (GGA-PBE)

Data for crystalline La2Co3 at its relaxed geometry.

Values from the calculation:
formation enthalpy at 0 K	-0.06	eV/atom
total moment	1.666	μB/f.u.
DOS(E_F)	11.17	states/eV per cell

Cell: 5.3422 5.3422 8.0849 Å, 79.84 79.84 117.78°
Site moments in Bohr magnetons follow the coordinates.
Atoms (fractional coordinates):
La1 0.1745 0.5143 0.0936  -0.15
La2 0.2643 0.4245 0.5936  -0.15
La3 0.0181 0.8579 0.4064  -0.15
La4 0.6079 0.2681 0.9064  -0.15
Co1 0.8815 0.8815 0.0000  1.07
Co2 0.6286 0.4554 0.2521  0.61
Co3 0.6308 0.9575 0.2479  0.61
Co4 0.6315 0.1315 0.5000  1.07
Co5 0.2054 0.8786 0.7521  0.61
Co6 0.7075 0.8808 0.7479  0.61

---

(17)
## BeRe2Ru (GGA-PBE)

Data for crystalline BeRe2Ru at its relaxed geometry.

Values from the calculation:
formation enthalpy at 0 K	0.01	eV/atom
total moment	0.000	μB/f.u.
DOS(E_F)	3.20	states/eV per cell

Cell: 2.7538 2.7538 6.8221 Å, 90.00 90.00 90.00°
Atoms (fractional coordinates):
Re1 0.0000 0.0000 0.9706
Re2 0.0000 0.0000 0.5294
Ru1 0.5000 0.5000 0.2500
Be1 0.5000 0.5000 0.7500

---

(18)
## Dy3Ho4Er (GGA-PBE)

Data for crystalline Dy3Ho4Er at its relaxed geometry.

Values from the calculation:
formation enthalpy at 0 K	0.20	eV/atom
total moment	0.000	μB/f.u.
DOS(E_F)	11.12	states/eV per cell

Cell: 5.5754 3.5301 13.2290 Å, 89.99 102.16 90.00°
Atoms (fractional coordinates):
Ho1 0.2770 0.4990 0.5540
Ho2 0.6031 0.5005 0.2062
Ho3 0.7230 0.5010 0.4460
Ho4 0.3969 0.4995 0.7938
Er1 0.5000 0.0000 0.0000
Dy1 0.8455 0.9995 0.6910
Dy2 0.1545 0.0005 0.3090
Dy3 0.0000 0.5000 0.0000

---

(19)
## SrLaTc2O8 (GGA-PBE)

Data for crystalline SrLaTc2O8 at its relaxed geometry.

Values from the calculation:
total moment	3.011	μB/f.u.
DOS(E_F)	5.34	states/eV per cell
raw total energy	-7.72	eV per atom

Cell: 5.4214 5.4214 7.1344 Å, 112.33 112.33 90.00°
Site moments in Bohr magnetons follow the coordinates.
Atoms (fractional coordinates):
O1 0.0828 0.9683 0.6631  0.07
O2 0.1747 0.5722 0.8465  0.07
O3 0.3053 0.9172 0.3369  0.07
O4 0.6718 0.2742 0.8465  0.07
O5 0.4278 0.3282 0.1535  0.07
O6 0.7258 0.8253 0.1535  0.07
O7 0.0317 0.4198 0.3369  0.07
O8 0.5802 0.6947 0.6631  0.07
La1 0.0000 0.0000 0.0000  0.07
Sr1 0.7500 0.2500 0.5000  0.02
Tc1 0.5000 0.5000 0.0000  1.00
Tc2 0.2500 0.7500 0.5000  1.01

---

(20)
## ZrTiIr2Pb (GGA-PBE)

Data for crystalline ZrTiIr2Pb at its relaxed geometry.

Values from the calculation:
formation enthalpy at 0 K	0.64	eV/atom
total moment	0.000	μB/f.u.
DOS(E_F)	5.97	states/eV per cell

Cell: 4.6118 5.1017 4.6118 Å, 90.00 90.00 90.00°
Atoms (fractional coordinates):
Ir1 0.5000 0.0000 0.0000
Ir2 0.0000 0.0000 0.5000
Pb1 0.0000 0.5000 0.0000
Ti1 0.0000 0.0000 0.0000
Zr1 0.5000 0.5000 0.5000

---

(21)
## SrPb2Au (GGA-PBE)

Data for crystalline SrPb2Au at its relaxed geometry.

Values from the calculation:
formation enthalpy at 0 K	-0.21	eV/atom
total moment	0.000	μB/f.u.
DOS(E_F)	2.28	states/eV per cell

Cell: 3.9558 3.9542 7.5074 Å, 90.00 90.00 90.00°
Atoms (fractional coordinates):
Pb1 0.0000 0.0000 0.9519
Pb2 0.0000 0.0000 0.5481
Sr1 0.5000 0.5000 0.2500
Au1 0.5000 0.5000 0.7500